The following is a PBE calculation of a geometry-optimized SrHfP2Cl structure, from the Alexandria database.

Structure (extended XYZ):
```
5
Lattice="5.0261 0.0000 0.0000 0.0000 5.0261 0.0000 0.0000 0.0000 5.0468" Properties=species:S:1:pos:R:3 pbc="T T T"
P 0.0000 2.5131 0.0000
P 2.5131 0.0000 0.0000
Hf 0.0000 0.0000 0.0000
Sr 2.5131 2.5131 2.5234
Cl 0.0000 0.0000 2.5234
```

The value obtained for the energy is -29.332 eV for the cell shown. The uncorrected formation energy is -1006 meV per atom. For the energy above the lowest structure with this stoichiometry, the calculation gives 0.000 eV per formula unit. As for the space group: P4/mmm (123). The value obtained for the total magnetization is 0.00 μB/f.u.